one | Li2Cd2In | GGA-PBEsol | relaxed

Cell lengths 3.2697, 7.6846, 7.6846 Å; angles 90.00, 90.00, 90.00 degrees
Last column: nearest neighbours and their distance in Å.
Atoms (fractional coordinates):
Cd  0.0000  0.1327  0.3673  6 Li 2.74-2.82, 1 Cd 2.88, 2 In 3.00
In  0.0000  0.0000  0.0000  4 Cd 3.00, 2 In 3.27, 8 Li 3.30
Cd  0.0000  0.6327  0.1327  6 Li 2.74-2.82, 1 Cd 2.88, 2 In 3.00
In  0.0000  0.5000  0.5000  4 Cd 3.00, 2 In 3.27, 8 Li 3.30
Li  0.5000  0.8352  0.3352  6 Cd 2.74-2.82
Li  0.5000  0.3352  0.1648  6 Cd 2.74-2.82
Li  0.5000  0.1648  0.6648  6 Cd 2.74-2.82
Cd  0.0000  0.8673  0.6327  6 Li 2.74-2.82, 1 Cd 2.88, 2 In 3.00
Li  0.5000  0.6648  0.8352  6 Cd 2.74-2.82
Cd  0.0000  0.3673  0.8673  6 Li 2.74-2.82, 1 Cd 2.88, 2 In 3.00

Output
Symmetry ... P4/mbm, No. 127
Theoretical density ... 6.081 Mg/m³


two | Li2Cd2In | GGA-PBEsol | relaxed

Cell lengths 3.8309, 3.8309, 7.6600 Å; angles 104.48, 104.48, 90.00 degrees
Last column: nearest neighbours and their distance in Å.
Atoms (fractional coordinates):
Cd  0.3940  0.3940  0.7879  4 Li 2.82, 1 Cd 3.04, 4 In 3.11
Li  0.2500  0.7500  0.5000  4 Li 2.71, 4 Cd 2.82
Cd  0.6060  0.6060  0.2121  4 Li 2.82, 1 Cd 3.04, 4 In 3.11
In  0.0000  0.0000  0.0000  8 Cd 3.11
Li  0.7500  0.2500  0.5000  4 Li 2.71, 4 Cd 2.82

Output
Symmetry ... I4/mmm, No. 139
Theoretical density ... 5.583 Mg/m³


Of them, one has the highest stability.


one | CdInMo2 | GGA-PBEsol | relaxed

Cell lengths 2.8364, 4.5492, 5.4608 Å; angles 90.00, 97.69, 90.00 degrees
Last column: nearest neighbours and their distance in Å.
Atoms (fractional coordinates):
Mo  0.9511  0.0000  0.0142  4 Mo 2.64-2.84, 1 Cd 2.77, 2 In 2.91
Mo  0.8031  0.5000  0.2373  4 Mo 2.64-2.84, 1 In 2.79, 2 Cd 2.92
In  0.3070  0.5000  0.7601  2 Cd 2.77, 4 Mo 2.79-3.02, 2 In 2.84
Cd  0.4388  0.0000  0.4883  4 Mo 2.77-3.04, 2 In 2.77, 2 Cd 2.84

Output
Symmetry ... Pm, No. 6
Theoretical density ... 9.966 Mg/m³


two | CdInMo2 | GGA-PBEsol | relaxed

Cell lengths 2.8759, 2.8759, 9.4997 Å; angles 90.00, 90.00, 112.18 degrees
Last column: nearest neighbours and their distance in Å.
Atoms (fractional coordinates):
Mo  0.0000  0.0000  0.9789  2 Mo 2.54
Mo  0.5000  0.5000  0.7716  2 Mo 2.54
Cd  0.0000  0.0000  0.5176  6 Cd 2.88-3.21, 2 Mo 2.90, 2 In 3.15
In  0.5000  0.5000  0.2320  6 In 2.88-3.21, 2 Mo 2.89, 2 Cd 3.15

Output
Symmetry ... Cmm2, No. 35
Theoretical density ... 9.565 Mg/m³


Of them, two has the highest stability.


one | CdIn2O4 | GGA-PBEsol | relaxed

Cell lengths 6.3728, 6.5043, 6.5043 Å; angles 60.70, 60.67, 60.67 degrees
Last column: nearest neighbours and their distance in Å.
Atoms (fractional coordinates):
O  0.7307  0.7517  0.2517  3 In 2.10-2.21, 1 Cd 2.33
O  0.2660  0.7517  0.2517  3 In 2.10-2.21, 1 Cd 2.33
O  0.7335  0.7616  0.7715  2 In 2.07-2.16, 2 Cd 2.27
Cd  0.0000  0.5000  0.0000  6 O 2.27-2.33
O  0.7335  0.2715  0.2616  2 In 2.07-2.16, 2 Cd 2.27
O  0.7340  0.2483  0.7483  3 In 2.10-2.21, 1 Cd 2.33
In  0.1346  0.1154  0.6154  4 O 2.07-2.10
O  0.2665  0.2384  0.2285  2 In 2.07-2.16, 2 Cd 2.27
In  0.8654  0.8846  0.3846  4 O 2.07-2.10
O  0.2693  0.2483  0.7483  3 In 2.10-2.21, 1 Cd 2.33
O  0.2665  0.7285  0.7384  2 In 2.07-2.16, 2 Cd 2.27
In  0.5000  0.5000  0.5000  6 O 2.16-2.21
In  0.5000  0.0000  0.0000  6 O 2.16-2.21
Cd  0.5000  0.5000  0.0000  6 O 2.27-2.33

Output
Symmetry ... Imma, No. 74
Theoretical density ... 6.967 Mg/m³


two | CdIn2O4 | GGA-PBEsol | relaxed

Cell lengths 6.5098, 6.5098, 6.5098 Å; angles 60.00, 60.00, 60.00 degrees
Last column: nearest neighbours and their distance in Å.
Atoms (fractional coordinates):
Cd  0.0000  0.0000  0.0000  4 O 2.20
In  0.6250  0.1250  0.6250  6 O 2.19
Cd  0.2500  0.2500  0.2500  4 O 2.20
O  0.3879  0.3879  0.3879  3 In 2.19, 1 Cd 2.20
O  0.8621  0.8621  0.4137  3 In 2.19, 1 Cd 2.20
O  0.4137  0.8621  0.8621  3 In 2.19, 1 Cd 2.20
In  0.6250  0.6250  0.1250  6 O 2.19
In  0.6250  0.6250  0.6250  6 O 2.19
O  0.3879  0.8363  0.3879  3 In 2.19, 1 Cd 2.20
O  0.8363  0.3879  0.3879  3 In 2.19, 1 Cd 2.20
O  0.3879  0.3879  0.8363  3 In 2.19, 1 Cd 2.20
In  0.1250  0.6250  0.6250  6 O 2.19
O  0.8621  0.4137  0.8621  3 In 2.19, 1 Cd 2.20
O  0.8621  0.8621  0.8621  3 In 2.19, 1 Cd 2.20

Output
Symmetry ... Fd-3m, No. 227
Theoretical density ... 6.913 Mg/m³


Of them, two has the highest stability.


one | RbCd2In2 | GGA-PBEsol | relaxed

Cell lengths 3.1744, 9.2314, 9.2314 Å; angles 90.00, 90.00, 90.00 degrees
Last column: nearest neighbours and their distance in Å.
Atoms (fractional coordinates):
In  0.0000  0.1368  0.3632  6 Cd 3.12-3.16, 2 In 3.17
Cd  0.5000  0.3462  0.1538  6 In 3.12-3.16, 2 Cd 3.17
In  0.0000  0.8632  0.6368  6 Cd 3.12-3.16, 2 In 3.17
In  0.0000  0.3632  0.8632  6 Cd 3.12-3.16, 2 In 3.17
Cd  0.5000  0.1538  0.6538  6 In 3.12-3.16, 2 Cd 3.17
Rb  0.0000  0.5000  0.5000  2 Rb 3.17
In  0.0000  0.6368  0.1368  6 Cd 3.12-3.16, 2 In 3.17
Cd  0.5000  0.8462  0.3462  6 In 3.12-3.16, 2 Cd 3.17
Cd  0.5000  0.6538  0.8462  6 In 3.12-3.16, 2 Cd 3.17
Rb  0.0000  0.0000  0.0000  2 Rb 3.17

Output
Symmetry ... P4/mbm, No. 127
Theoretical density ... 6.628 Mg/m³


two | RbCd2In2 | GGA-PBEsol | relaxed

Cell lengths 4.9207, 4.9207, 6.9368 Å; angles 110.77, 110.77, 90.00 degrees
Last column: nearest neighbours and their distance in Å.
Atoms (fractional coordinates):
In  0.3790  0.3790  0.7580  1 In 2.90, 4 Cd 2.91
Rb  0.0000  0.0000  0.0000  8 In 3.77, 8 Cd 3.88
Cd  0.7500  0.2500  0.5000  4 In 2.91
In  0.6210  0.6210  0.2420  1 In 2.90, 4 Cd 2.91
Cd  0.2500  0.7500  0.5000  4 In 2.91

Output
Symmetry ... I4/mmm, No. 139
Theoretical density ... 6.170 Mg/m³


Of them, two has the highest stability.


one | CdInRe2 | GGA-PBEsol | relaxed

Cell lengths 2.8631, 2.8631, 9.5725 Å; angles 81.40, 81.40, 60.00 degrees
Last column: nearest neighbours and their distance in Å.
Atoms (fractional coordinates):
Cd  0.5000  0.5000  0.5000  6 Cd 2.86, 6 Re 2.90
In  0.0000  0.0000  0.0000  6 Re 2.86, 6 In 2.86
Re  0.2508  0.2508  0.2475  3 In 2.86, 6 Re 2.86, 3 Cd 2.90
Re  0.7492  0.7492  0.7525  3 In 2.86, 6 Re 2.86, 3 Cd 2.90

Output
Symmetry ... R-3m, No. 166
Theoretical density ... 14.876 Mg/m³


two | CdInRe2 | GGA-PBEsol | relaxed

Cell lengths 3.1136, 4.5860, 4.7007 Å; angles 90.00, 90.00, 90.00 degrees
Last column: nearest neighbours and their distance in Å.
Atoms (fractional coordinates):
In  0.0000  0.5000  0.5000  4 Cd 2.77, 4 Re 2.82
Cd  0.5000  0.0000  0.5000  4 In 2.77, 4 Re 2.82
Re  0.0000  0.0000  0.0000  4 Re 2.77, 4 Cd 2.82
Re  0.5000  0.5000  0.0000  4 Re 2.77, 4 In 2.82

Output
Symmetry ... Pmmm, No. 47
Theoretical density ... 14.835 Mg/m³


Of them, one has the highest stability.